Record 1
DFT (PBE) results for a relaxed structure of SnH.

Lattice parameters (Å, degrees): 5.9745 3.9416 3.0520 90.00 90.00 90.00
Atoms (fractional coordinates):
1 H 0.7500 0.0000 0.3055
2 H 0.2500 0.0000 0.6945
3 Sn 0.2500 0.5000 0.6027
4 Sn 0.7500 0.5000 0.3973

space-group type	Pmma (51)
ΔE to the lowest computed polymorph	215	meV/atom

=====

Record 2
DFT (PBE) results for a relaxed structure of Tc2Os2Se.

Lattice parameters (Å, degrees): 7.6669 7.6669 2.7622 90.00 90.00 90.00
Atoms (fractional coordinates):
1 Se 0.5000 0.5000 0.0000
2 Se 0.0000 0.0000 0.0000
3 Tc 0.1595 0.6595 0.5000
4 Tc 0.8405 0.3405 0.5000
5 Tc 0.3405 0.1595 0.5000
6 Tc 0.6595 0.8405 0.5000
7 Os 0.8731 0.6269 0.0000
8 Os 0.1269 0.3731 0.0000
9 Os 0.6269 0.1269 0.0000
10 Os 0.3731 0.8731 0.0000

space-group type	P4/mbm (127)
ΔE to the lowest computed polymorph	0	meV/atom
formation energy without anion corrections	44.4	kJ per mole of atoms

=====

Record 3
DFT (PBE) results for a relaxed structure of Zn3Ge3Pb.

Lattice parameters (Å, degrees): 6.9790 6.9790 6.9790 90.00 90.00 90.00
Atoms (fractional coordinates):
1 Ge 0.7500 0.0000 0.5000
2 Ge 0.5000 0.7500 0.0000
3 Ge 0.0000 0.5000 0.2500
4 Ge 0.2500 0.0000 0.5000
5 Ge 0.5000 0.2500 0.0000
6 Ge 0.0000 0.5000 0.7500
7 Pb 0.0000 0.0000 0.0000
8 Pb 0.5000 0.5000 0.5000
9 Zn 0.0000 0.2500 0.5000
10 Zn 0.7500 0.5000 0.0000
11 Zn 0.2500 0.5000 0.0000
12 Zn 0.5000 0.0000 0.2500
13 Zn 0.0000 0.7500 0.5000
14 Zn 0.5000 0.0000 0.7500

space-group type	Pm-3n (223)
formation energy from the elements	2.93	eV per formula unit

=====

Record 4
DFT (PBE) results for a relaxed structure of ScCuTe2I.

Lattice parameters (Å, degrees): 5.5811 5.5811 5.6562 90.00 90.00 90.00
Atoms (fractional coordinates):
1 I 0.0000 0.0000 0.5000
2 Sc 0.0000 0.0000 0.0000
3 Te 0.0000 0.5000 0.0000
4 Te 0.5000 0.0000 0.0000
5 Cu 0.5000 0.5000 0.5000

space-group type	P4/mmm (123)
ΔE to the lowest computed polymorph	0	meV/atom
formation energy without anion corrections	6.2	kJ per mole of atoms

=====

Record 5
DFT (PBE) results for a relaxed structure of Ce2Al4ZnAu3.

Lattice parameters (Å, degrees): 4.3642 4.3642 10.5947 90.00 90.00 90.00
Last column: magnetic moment on the atom in μB.
Atoms (fractional coordinates):
1 Al 0.0000 0.0000 0.0000  0.00
2 Al 0.5000 0.0000 0.6326  0.00
3 Al 0.0000 0.5000 0.3674  0.00
4 Al 0.5000 0.5000 0.0000  0.00
5 Au 0.0000 0.5000 0.1315  0.00
6 Au 0.0000 0.0000 0.5000  0.00
7 Au 0.5000 0.0000 0.8685  0.00
8 Ce 0.5000 0.0000 0.2548  0.59
9 Ce 0.0000 0.5000 0.7452  0.59
10 Zn 0.5000 0.5000 0.5000  -0.01

space-group type	P-4m2 (115)
formation energy from the elements	-6.23	eV per formula unit

=====

Record 6
DFT (PBE) results for a relaxed structure of Tc3SbN.

Lattice parameters (Å, degrees): 4.1261 4.1261 4.1261 90.00 90.00 90.00
Last column: magnetic moment on the atom in μB.
Atoms (fractional coordinates):
1 Tc 0.5000 0.0000 0.0000  0.07
2 Tc 0.0000 0.0000 0.5000  0.07
3 Tc 0.0000 0.5000 0.0000  0.08
4 N 0.0000 0.0000 0.0000  -0.01
5 Sb 0.5000 0.5000 0.5000  -0.01

space-group type	Pm-3m (221)
ΔE to the lowest computed polymorph	0	meV/atom
formation energy without anion corrections	12.5	kJ per mole of atoms